Record 1
NaY2AlPb | the Alexandria database | meta-GGA SCAN | PBEsol geometry; calculated formation energy = 15.4 kcal/mol of atoms; crystal system = tetragonal; density of states at the Fermi level = 4.11 states/eV per cell
1.0
5.092 0.000 0.000
0.000 5.337 0.000
0.000 0.000 5.337
Pb Y Al Na
1 2 1 1
Cartesian
2.546 0.000 0.000 Pb
0.000 0.000 2.668 Y
0.000 2.668 0.000 Y
2.546 2.668 2.668 Al
0.000 0.000 0.000 Na

---

Record 2
Na2AlPd2 | the Alexandria database | meta-GGA SCAN | PBEsol geometry; calculated formation energy = 0.5 kcal/mol of atoms; crystal system = tetragonal; density of states at the Fermi level = 1.41 states/eV per cell
1.0
3.432 0.000 0.000
0.000 3.432 0.000
-1.716 -1.716 7.240
Na Al Pd
2 1 2
Cartesian
0.000 1.716 3.620 Na
1.716 0.000 3.620 Na
0.000 0.000 0.000 Al
0.000 0.000 5.943 Pd
1.716 1.716 1.297 Pd

---

Record 3
Na2TaAlPd | the Alexandria database | meta-GGA SCAN | PBEsol geometry; calculated formation energy = 31.9 kcal/mol of atoms; crystal system = tetragonal; density of states at the Fermi level = 4.18 states/eV per cell
1.0
-2.113 -3.533 -2.624
-1.782 -1.974 4.094
-4.099 2.781 -0.443
Na Al Pd Ta
2 1 1 1
Cartesian
-0.891 -0.987 2.047 Na
-1.057 -1.767 -1.312 Na
0.000 0.000 0.000 Al
-3.997 -1.363 0.513 Pd
-2.049 1.391 -0.222 Ta

---

Record 4
NaAlPt3 | the Alexandria database | meta-GGA SCAN | PBEsol geometry; calculated formation energy = 0.3 kcal/mol of atoms; crystal system = cubic; density of states at the Fermi level = 0.58 states/eV per cell
1.0
-2.698 -0.309 -3.669
0.338 -4.550 0.134
-3.666 -0.192 2.712
Na Al Pt
1 1 3
Cartesian
-3.013 -2.525 -0.411 Na
0.000 0.000 0.000 Al
0.169 -2.275 0.067 Pt
-1.833 -0.096 1.356 Pt
-1.349 -0.154 -1.834 Pt

---

Record 5
NaAl2Pt | the Alexandria database | meta-GGA SCAN | PBEsol geometry; calculated formation energy = -5.7 kcal/mol of atoms; crystal system = tetragonal; density of states at the Fermi level = 3.01 states/eV per cell
1.0
-1.998 0.548 -5.002
-1.916 -5.059 0.211
-4.643 4.876 5.318
Na Al Pt
2 4 2
Cartesian
-1.957 -2.256 -2.395 Na
-4.299 1.584 -1.039 Na
-6.407 -0.427 1.047 Al
-5.408 -0.701 3.548 Al
-3.087 -3.139 0.889 Al
-2.129 -0.610 0.783 Al
0.000 0.000 0.000 Pt
-4.258 -1.219 1.567 Pt

---

Record 6
Rb3NaAl | the Alexandria database | meta-GGA SCAN | PBEsol geometry; calculated formation energy = 8.7 kcal/mol of atoms; crystal system = cubic; density of states at the Fermi level = 5.29 states/eV per cell
1.0
6.952 0.000 0.000
0.000 6.952 0.000
0.000 0.000 6.952
Na Al Rb
1 1 3
Cartesian
3.476 3.476 3.476 Na
0.000 0.000 0.000 Al
0.000 3.476 0.000 Rb
0.000 0.000 3.476 Rb
3.476 0.000 0.000 Rb

---

Record 7
Na2AlSb2 | the Alexandria database | meta-GGA SCAN | PBEsol geometry; crystal system = tetragonal; density of states at the Fermi level = 3.76 states/eV per cell
1.0
3.146 0.000 0.000
0.000 8.901 0.000
0.000 0.000 8.901
Sb Al Na
4 2 4
Cartesian
0.000 2.835 7.285 Sb
0.000 7.285 6.067 Sb
0.000 6.067 1.616 Sb
0.000 1.616 2.835 Sb
0.000 0.000 0.000 Al
0.000 4.451 4.451 Al
1.573 1.053 5.503 Na
1.573 5.503 7.849 Na
1.573 7.849 3.398 Na
1.573 3.398 1.053 Na

---

Record 8
Na7Al2Sb5 | the Alexandria database | meta-GGA SCAN | PBEsol geometry; crystal system = monoclinic
1.0
7.695 -0.009 0.000
-3.823 7.207 0.000
0.000 0.000 13.485
Na Al Sb
14 4 10
Cartesian
-0.790 2.917 10.114 Na
-0.746 2.996 1.014 Na
2.842 6.359 1.031 Na
1.029 0.839 7.774 Na
4.661 4.281 3.371 Na
3.322 1.869 10.114 Na
1.218 1.028 3.371 Na
2.654 6.169 10.114 Na
4.618 4.202 12.471 Na
1.029 0.839 12.453 Na
4.618 4.202 7.756 Na
0.549 5.329 3.371 Na
2.842 6.359 5.711 Na
-0.746 2.996 5.729 Na
-0.031 6.046 12.292 Al
3.903 1.152 5.550 Al
3.903 1.152 1.193 Al
-0.031 6.046 7.935 Al
1.569 3.858 12.098 Sb
-1.533 6.116 1.081 Sb
5.405 1.082 7.823 Sb
5.405 1.082 12.404 Sb
2.303 3.340 1.387 Sb
1.569 3.858 8.129 Sb
2.303 3.340 5.356 Sb
-1.690 6.034 10.114 Sb
5.561 1.164 3.371 Sb
-1.533 6.116 5.662 Sb

---

| no. | E_tot (eV/atom) |
| --- | --- |
| 1 | -28.020 |
| 2 | -16.323 |
| 3 | -21.726 |
| 4 | -44.497 |
| 5 | -22.724 |
| 6 | -14.461 |
| 7 | -18.199 |
| 8 | -16.980 |